SrBiP2O PBE relaxed; ρ = 4.68 Mg/m³; energy relative to the elements, uncorrected = 0.527 eV per atom; VASP energy = -3.74 eV/atom
1.0
5.572 0.000 0.000
0.000 5.572 0.000
0.000 0.000 4.278
Sr Bi O P
1 1 1 2
Cartesian
0.000 0.000 0.000 Sr
2.786 2.786 2.139 Bi
0.000 0.000 2.139 O
0.000 2.786 0.000 P
2.786 0.000 0.000 P



VPd2SeCl PBE relaxed; ρ = 5.76 Mg/m³; energy relative to the elements, uncorrected = 0.473 eV per atom; VASP energy = -4.49 eV/atom
1.0
-4.667 1.191 -0.836
-1.149 -1.620 4.109
0.776 4.412 1.956
Cl Se Pd V
1 1 2 1
Cartesian
-2.520 1.992 2.615 Cl
-0.575 -0.810 2.055 Se
0.388 2.206 0.978 Pd
-2.333 0.596 -0.418 Pd
0.000 0.000 0.000 V



Sm2Rh4Pb3 PBE relaxed; ρ = 11.44 Mg/m³; formation energy from the elements = -437 meV per atom; VASP energy = -5.99 eV/atom
1.0
6.190 0.000 0.000
0.000 7.230 0.000
-3.095 0.000 8.651
Sm Rh Pb
4 8 6
Cartesian
0.000 4.232 1.737 Sm
3.095 2.998 6.914 Sm
0.000 0.617 6.914 Sm
3.095 6.613 1.737 Sm
1.548 5.423 7.343 Rh
4.643 1.808 1.308 Rh
1.548 1.808 1.308 Rh
-1.548 5.423 7.343 Rh
0.000 6.984 2.780 Rh
3.095 0.246 5.871 Rh
0.000 3.369 5.871 Rh
3.095 3.861 2.780 Rh
0.000 0.000 0.000 Pb
3.095 3.615 0.000 Pb
1.548 5.423 4.569 Pb
4.643 1.808 4.082 Pb
1.548 1.808 4.082 Pb
-1.548 5.423 4.569 Pb



NaDyHoIn PBE relaxed; ρ = 7.02 Mg/m³; formation energy from the elements = -114 meV per atom; VASP energy = -3.42 eV/atom
1.0
5.380 0.000 0.000
2.690 4.659 0.000
2.690 1.553 4.393
Na In Ho Dy
1 1 1 1
Cartesian
0.000 0.000 0.000 Na
5.380 3.106 2.196 In
8.070 4.659 3.295 Ho
2.690 1.553 1.098 Dy



In5Ga4Hg2 PBE relaxed; ρ = 7.67 Mg/m³; formation energy from the elements = 67 meV per atom; VASP energy = -2.33 eV/atom
1.0
6.368 0.000 0.000
3.184 5.578 0.523
3.184 1.802 7.816
In Ga Hg
5 4 2
Cartesian
4.811 3.247 7.084 In
7.925 4.133 1.255 In
3.184 3.690 4.169 In
7.925 3.247 7.084 In
4.811 4.133 1.255 In
6.368 4.944 3.796 Ga
6.368 2.437 4.543 Ga
9.552 5.745 6.413 Ga
3.184 1.635 1.926 Ga
6.368 6.353 6.164 Hg
6.368 1.027 2.174 Hg



La2DyGa PBE relaxed; ρ = 7.12 Mg/m³; formation energy from the elements = -120 meV per atom; VASP energy = -4.49 eV/atom
1.0
5.520 0.000 0.000
2.760 4.780 0.000
2.760 1.593 4.507
La Ga Dy
2 1 1
Cartesian
2.760 1.593 1.127 La
8.279 4.780 3.380 La
5.520 3.187 2.253 Ga
0.000 0.000 0.000 Dy



Sm3TmN PBE relaxed; ρ = 8.11 Mg/m³; energy relative to the elements, uncorrected = -0.488 eV per atom; VASP energy = -5.88 eV/atom
1.0
-3.159 -3.126 2.426
3.929 -2.843 1.453
0.465 2.790 4.200
Tm Sm N
1 3 1
Cartesian
0.618 -1.590 4.039 Tm
1.965 -1.421 0.727 Sm
0.232 1.395 2.100 Sm
-1.579 -1.563 1.213 Sm
0.000 0.000 0.000 N



Pu4AsH5 PBE relaxed; ρ = 11.84 Mg/m³; VASP energy = -8.23 eV/atom
1.0
-4.808 2.096 1.339
-2.835 -3.853 -4.148
-0.891 -5.987 6.170
Pu As H
8 2 10
Cartesian
-5.326 -2.022 5.518 Pu
-4.534 -1.952 -2.549 Pu
-2.992 0.144 -0.293 Pu
-5.002 0.148 3.281 Pu
-1.669 -2.973 -0.931 Pu
-4.972 -4.725 0.751 Pu
-3.679 -2.968 2.643 Pu
-2.237 -6.789 3.003 Pu
-4.742 2.067 1.321 As
-1.929 -4.891 1.029 As
-4.236 -6.806 1.839 H
-2.743 -4.776 4.024 H
-4.922 -0.399 -1.098 H
-3.795 -3.839 -1.219 H
-2.301 -1.809 0.966 H
-5.711 -2.838 -0.579 H
-4.370 -1.015 1.384 H
-1.749 -2.425 3.448 H
-4.820 -4.035 4.496 H
-6.161 -5.858 2.534 H



Nd2Sm5Cd4 PBE relaxed; ρ = 7.61 Mg/m³; formation energy from the elements = -129 meV per atom; VASP energy = -3.47 eV/atom
1.0
-0.374 -1.833 3.000
-4.621 -1.935 -1.759
20.078 -7.644 -4.247
Nd Sm Cd
2 5 4
Cartesian
10.874 -8.111 -3.598 Nd
4.209 -3.300 0.592 Nd
2.947 -4.735 -2.525 Sm
12.135 -6.677 -0.481 Sm
6.121 -5.155 -2.385 Sm
-0.187 -0.916 1.500 Sm
8.962 -6.257 -0.621 Sm
13.686 -9.167 -1.809 Cd
-1.625 -2.070 -1.467 Cd
1.396 -2.244 -1.197 Cd
16.708 -9.342 -1.539 Cd



TlSbMo2I PBE relaxed; ρ = 6.22 Mg/m³; energy relative to the elements, uncorrected = 2.019 eV per atom; VASP energy = -3.92 eV/atom
1.0
-0.963 2.966 -4.401
-1.625 -4.875 -2.929
-5.096 0.732 1.609
I Sb Tl Mo
1 1 1 2
Cartesian
-0.813 -2.438 -1.465 I
-3.842 -0.589 -2.861 Sb
0.000 0.000 0.000 Tl
-2.548 0.366 0.804 Mo
-0.482 1.483 -2.200 Mo



SnSb2Pb6 PBE relaxed; ρ = 9.69 Mg/m³; energy relative to the elements, uncorrected = 0.053 eV per atom; VASP energy = -3.78 eV/atom
1.0
5.422 -4.373 3.474
7.695 -1.146 0.273
2.793 4.022 6.037
Sn Sb Pb
1 2 6
Cartesian
7.955 -0.749 4.892 Sn
1.246 0.410 1.298 Sb
14.663 -1.908 8.486 Sb
10.273 0.023 7.316 Pb
5.636 -1.520 2.468 Pb
5.981 1.833 6.093 Pb
12.393 -2.627 6.149 Pb
9.929 -3.330 3.690 Pb
3.516 1.129 3.635 Pb



TaBe4Mo PBE relaxed; ρ = 7.87 Mg/m³; formation energy from the elements = -274 meV per atom; VASP energy = -6.54 eV/atom
1.0
-1.806 -4.153 0.350
1.620 1.443 -3.990
6.650 -2.748 1.705
Ta Be Mo
2 8 2
Cartesian
6.652 -2.974 -0.961 Ta
-0.189 -2.484 -0.975 Ta
3.325 -1.374 0.852 Be
0.000 0.000 0.000 Be
1.841 -2.236 -2.647 Be
2.723 -0.209 -2.817 Be
1.932 -0.913 -0.869 Be
4.623 -3.222 0.711 Be
3.741 -5.249 0.882 Be
4.532 -4.544 -1.067 Be
2.258 -3.495 -0.348 Mo
4.205 -1.963 -1.588 Mo



Question: Among the records above, which one has the highest VASP energy?
Answer: In5Ga4Hg2